VASP calculation (PBE+U) on Co2Si2O5 after structural relaxation.

Energy = -6.452 eV per atom
Size of the total moment = 4.1 Bohr magnetons per cell

a = 7.360 Å, b = 3.381 Å, c = 3.381 Å
α = 90.00°, β = 90.00°, γ = 90.00°
Site moments in Bohr magnetons follow the coordinates.
Atoms (fractional coordinates):
Si  0.265  0.500  0.500  -0.01
O  0.215  0.000  0.500  0.02
O  0.500  0.500  0.500  0.03
O  0.785  0.500  0.000  0.02
O  0.785  0.000  0.500  0.02
Co  0.500  0.000  0.000  1.95
O  0.215  0.500  0.000  0.02
Co  0.000  0.000  0.000  2.08
Si  0.735  0.500  0.500  -0.01